No. 1
DFT (PBE-GGA) results for a geometry-optimized AlRh3 structure.

Lattice parameters (Å, degrees): 4.5845 4.5845 2.7817 90.00 90.00 106.00
Fractional positions:
Al  0.0000  0.0000  0.0000
Rh  0.0000  0.5000  0.5000
Rh  0.5000  0.0000  0.5000
Rh  0.5000  0.5000  0.0000

Properties
* total moment: 0.00 μB per cell
* formation energy: -0.47 eV per atom
* V: 56.2 Å³/cell
* E: -27.67 eV per formula unit
* space-group type: Cmmm (65)


No. 2
DFT (PBE-GGA) results for a geometry-optimized Al5Rh6 structure.

Lattice parameters (Å, degrees): 4.6909 6.2281 6.2781 107.63 105.31 102.42
Fractional positions:
Al  0.0000  0.0000  0.0000
Al  0.1025  0.7826  0.3322
Al  0.4168  0.1298  0.7950
Al  0.6236  0.6599  0.5039
Al  0.8757  0.2691  0.6065
Rh  0.2168  0.7074  0.7244
Rh  0.2227  0.4281  0.0351
Rh  0.2932  0.2320  0.4308
Rh  0.6014  0.9026  0.2314
Rh  0.7147  0.5720  0.8904
Rh  0.7724  0.3492  0.2206

Properties
* total moment: 0.00 μB per cell
* formation energy: -0.70 eV per atom
* V: 159.7 Å³/cell
* E: -70.47 eV per formula unit
* space-group type: P1 (1)


No. 3
DFT (PBE-GGA) results for a geometry-optimized Al7Rh5 structure.

Lattice parameters (Å, degrees): 4.8660 5.4849 7.0958 107.24 92.78 98.93
Fractional positions:
Al  0.0000  0.0000  0.0000
Al  0.0028  0.8159  0.3390
Al  0.1917  0.2115  0.6902
Al  0.4790  0.9009  0.1304
Al  0.5211  0.7175  0.4848
Al  0.5606  0.4021  0.0911
Al  0.7381  0.2800  0.4831
Rh  0.0700  0.5258  0.0161
Rh  0.0818  0.7252  0.6580
Rh  0.2372  0.2767  0.3343
Rh  0.5795  0.5917  0.8073
Rh  0.6711  0.0894  0.7740

Properties
* total moment: 0.00 μB per cell
* formation energy: -0.69 eV per atom
* V: 177.8 Å³/cell
* E: -71.29 eV per formula unit
* space-group type: P1 (1)


No. 4
DFT (PBE-GGA) results for a geometry-optimized Al3Rh structure.

Lattice parameters (Å, degrees): 4.6210 8.5013 4.8509 90.00 110.87 90.00
Fractional positions:
Al  0.0000  0.0000  0.0000
Al  0.0000  0.1410  0.5000
Al  0.0000  0.3276  0.0000
Al  0.0000  0.4838  0.5000
Al  0.0000  0.6559  0.0000
Al  0.0000  0.8203  0.5000
Al  0.5000  0.2992  0.5000
Al  0.5000  0.6503  0.5000
Al  0.5000  0.8404  0.0000
Rh  0.5000  0.1626  0.0000
Rh  0.5000  0.5106  0.0000
Rh  0.5000  0.9658  0.5000

Properties
* total moment: 0.00 μB per cell
* formation energy: -0.50 eV per atom
* V: 178.1 Å³/cell
* E: -20.56 eV per formula unit
* space-group type: P2 (3)


No. 5
DFT (PBE-GGA) results for a geometry-optimized Al7Rh5 structure.

Lattice parameters (Å, degrees): 6.4180 6.4180 4.3425 101.69 101.69 88.39
Fractional positions:
Al  0.0000  0.0000  0.0000
Al  0.1049  0.4189  0.2965
Al  0.3341  0.6659  0.0000
Al  0.4189  0.1049  0.2965
Al  0.5811  0.8951  0.7035
Al  0.6659  0.3341  0.0000
Al  0.8951  0.5811  0.7035
Rh  0.1721  0.8279  0.5000
Rh  0.2647  0.2647  0.8394
Rh  0.5000  0.5000  0.5000
Rh  0.7353  0.7353  0.1606
Rh  0.8279  0.1721  0.5000

Properties
* total moment: 0.00 μB per cell
* formation energy: -0.78 eV per atom
* V: 171.5 Å³/cell
* E: -72.34 eV per formula unit
* space-group type: C2/m (12)


No. 6
DFT (PBE-GGA) results for a geometry-optimized Al5Rh6 structure.

Lattice parameters (Å, degrees): 4.7642 5.8842 6.1675 109.09 94.13 104.62
Fractional positions:
Al  0.0000  0.0000  0.0000
Al  0.0791  0.3530  0.7813
Al  0.3596  0.4520  0.2902
Al  0.6404  0.5480  0.7098
Al  0.9209  0.6470  0.2187
Rh  0.1850  0.7323  0.6618
Rh  0.2780  0.0849  0.4395
Rh  0.4742  0.7660  0.0901
Rh  0.5258  0.2340  0.9099
Rh  0.7220  0.9151  0.5605
Rh  0.8150  0.2677  0.3382

Properties
* total moment: 0.00 μB per cell
* formation energy: -0.70 eV per atom
* V: 155.8 Å³/cell
* E: -70.51 eV per formula unit
* space-group type: P-1 (2)


No. 7
DFT (PBE-GGA) results for a geometry-optimized Al4Rh structure.

Lattice parameters (Å, degrees): 4.8044 4.8044 4.8044 99.33 99.33 132.50
Fractional positions:
Al  0.1056  0.7007  0.8063
Al  0.2993  0.1056  0.4050
Al  0.7007  0.8944  0.5950
Al  0.8944  0.2993  0.1937
Rh  0.5000  0.5000  0.0000

Properties
* total moment: 0.00 μB per cell
* formation energy: -0.41 eV per atom
* V: 74.8 Å³/cell
* E: -24.38 eV per formula unit
* space-group type: I4/m (87)


No. 8
DFT (PBE-GGA) results for a geometry-optimized Al7Rh5 structure.

Lattice parameters (Å, degrees): 5.2994 4.0191 8.0464 90.00 92.60 90.00
Fractional positions:
Al  0.0000  0.0000  0.0000
Al  0.0110  0.0000  0.6633
Al  0.2933  0.5000  0.1740
Al  0.3296  0.5000  0.5108
Al  0.5009  0.0000  0.9961
Al  0.6996  0.5000  0.8137
Al  0.9855  0.0000  0.3353
Rh  0.1859  0.5000  0.8507
Rh  0.4837  0.0000  0.3128
Rh  0.5026  0.0000  0.6819
Rh  0.8081  0.5000  0.1313
Rh  0.8331  0.5000  0.5110

Properties
* total moment: 0.00 μB per cell
* formation energy: -0.81 eV per atom
* V: 171.2 Å³/cell
* E: -72.71 eV per formula unit
* space-group type: Pm (6)


No. 9
DFT (PBE-GGA) results for a geometry-optimized Al7Rh5 structure.

Lattice parameters (Å, degrees): 6.3438 3.9381 7.3718 90.00 108.57 90.00
Fractional positions:
Al  0.0000  0.0000  0.0000
Al  0.3105  0.0000  0.3616
Al  0.3180  0.0000  0.8084
Al  0.3355  0.5000  0.0941
Al  0.6645  0.5000  0.9059
Al  0.6820  0.0000  0.1916
Al  0.6895  0.0000  0.6384
Rh  0.0000  0.0000  0.5000
Rh  0.0030  0.5000  0.7904
Rh  0.3477  0.5000  0.6042
Rh  0.6523  0.5000  0.3958
Rh  0.9970  0.5000  0.2096

Properties
* total moment: 0.00 μB per cell
* formation energy: -0.65 eV per atom
* V: 174.6 Å³/cell
* E: -70.71 eV per formula unit
* space-group type: P2/m (10)


No. 10
DFT (PBE-GGA) results for a geometry-optimized Al5Rh7 structure.

Lattice parameters (Å, degrees): 4.7935 5.2857 7.2620 99.20 95.60 109.01
Fractional positions:
Al  0.0000  0.0000  0.0000
Al  0.0003  0.1856  0.6810
Al  0.4897  0.9000  0.1559
Al  0.5093  0.3000  0.5050
Al  0.9776  0.7689  0.3460
Rh  0.0071  0.6859  0.6769
Rh  0.4762  0.3925  0.1681
Rh  0.4850  0.5767  0.8310
Rh  0.5106  0.8009  0.4898
Rh  0.5310  0.0906  0.8386
Rh  0.9682  0.2550  0.3447
Rh  0.9985  0.5239  0.0250

Properties
* total moment: 0.00 μB per cell
* formation energy: -0.69 eV per atom
* V: 169.5 Å³/cell
* E: -78.48 eV per formula unit
* space-group type: P1 (1)


No. 11
DFT (PBE-GGA) results for a geometry-optimized Al7Rh5 structure.

Lattice parameters (Å, degrees): 4.7780 5.5371 7.2328 75.42 77.36 74.12
Fractional positions:
Al  0.0000  0.0000  0.0000
Al  0.0370  0.7966  0.6469
Al  0.4555  0.3695  0.1873
Al  0.4896  0.1628  0.8093
Al  0.5104  0.8372  0.1907
Al  0.5445  0.6305  0.8127
Al  0.9630  0.2034  0.3531
Rh  0.0000  0.5000  0.0000
Rh  0.0083  0.7136  0.3172
Rh  0.5000  0.0000  0.5000
Rh  0.5000  0.5000  0.5000
Rh  0.9917  0.2864  0.6828

Properties
* total moment: 0.00 μB per cell
* formation energy: -0.67 eV per atom
* V: 175.8 Å³/cell
* E: -70.96 eV per formula unit
* space-group type: P-1 (2)


No. 12
DFT (PBE-GGA) results for a geometry-optimized Al3Rh2 structure.

Lattice parameters (Å, degrees): 10.2614 10.2614 10.2614 16.22 16.22 16.22
Fractional positions:
Al  0.0000  0.0000  0.0000
Al  0.2043  0.2043  0.2043
Al  0.7957  0.7957  0.7957
Rh  0.3982  0.3982  0.3982
Rh  0.6018  0.6018  0.6018

Properties
* total moment: 0.00 μB per cell
* formation energy: -0.63 eV per atom
* V: 73.5 Å³/cell
* E: -29.08 eV per formula unit
* space-group type: R-3m (166)


No. 13
DFT (PBE-GGA) results for a geometry-optimized Al3Rh structure.

Lattice parameters (Å, degrees): 6.4956 6.4956 3.7171 90.00 90.00 131.25
Fractional positions:
Al  0.0000  0.5000  0.5000
Al  0.1295  0.8705  0.0000
Al  0.2561  0.2561  0.5000
Al  0.5000  0.0000  0.5000
Al  0.7439  0.7439  0.5000
Al  0.8705  0.1295  0.0000
Rh  0.3724  0.6276  0.0000
Rh  0.6276  0.3724  0.0000

Properties
* total moment: 0.00 μB per cell
* formation energy: -0.50 eV per atom
* V: 117.9 Å³/cell
* E: -20.57 eV per formula unit
* space-group type: Cmmm (65)


No. 14
DFT (PBE-GGA) results for a geometry-optimized Al3Rh structure.

Lattice parameters (Å, degrees): 4.9100 4.9100 4.9100 90.00 90.00 90.00
Fractional positions:
Al  0.0000  0.2500  0.5000
Al  0.0000  0.7500  0.5000
Al  0.2500  0.5000  0.0000
Al  0.5000  0.0000  0.2500
Al  0.5000  0.0000  0.7500
Al  0.7500  0.5000  0.0000
Rh  0.0000  0.0000  0.0000
Rh  0.5000  0.5000  0.5000

Properties
* total moment: 0.00 μB per cell
* formation energy: -0.60 eV per atom
* V: 118.4 Å³/cell
* E: -20.99 eV per formula unit
* space-group type: Pm-3n (223)


No. 15
DFT (PBE-GGA) results for a geometry-optimized Al6Rh5 structure.

Lattice parameters (Å, degrees): 4.6525 6.1263 6.2668 108.50 106.86 96.08
Fractional positions:
Al  0.0000  0.0000  0.0000
Al  0.0484  0.7974  0.3516
Al  0.1834  0.5949  0.7202
Al  0.2967  0.4141  0.0677
Al  0.4079  0.2319  0.4852
Al  0.6333  0.7097  0.5334
Rh  0.4568  0.0033  0.8085
Rh  0.4651  0.8525  0.1881
Rh  0.7538  0.5726  0.8916
Rh  0.8514  0.3654  0.2772
Rh  0.9427  0.1642  0.6420

Properties
* total moment: 0.00 μB per cell
* formation energy: -0.74 eV per atom
* V: 158.2 Å³/cell
* E: -67.37 eV per formula unit
* space-group type: P1 (1)


No. 16
DFT (PBE-GGA) results for a geometry-optimized AlRh3 structure.

Lattice parameters (Å, degrees): 2.7906 3.7217 5.4356 90.00 90.00 90.00
Fractional positions:
Al  0.0000  0.0000  0.0000
Rh  0.0000  0.0000  0.5000
Rh  0.5000  0.5000  0.2468
Rh  0.5000  0.5000  0.7532

Properties
* total moment: 0.00 μB per cell
* formation energy: -0.41 eV per atom
* V: 56.5 Å³/cell
* E: -27.43 eV per formula unit
* space-group type: Pmmm (47)


No. 17
DFT (PBE-GGA) results for a geometry-optimized AlRu3Rh structure.

Lattice parameters (Å, degrees): 4.3477 4.3477 4.3477 90.00 90.00 90.00
Fractional positions:
Al  0.0000  0.0000  0.0000
Ru  0.0000  0.0000  0.5000
Ru  0.0000  0.5000  0.0000
Ru  0.5000  0.0000  0.0000
Rh  0.5000  0.5000  0.5000

Properties
* total moment: 0.00 μB per cell
* formation energy: 1.26 eV per atom
* V: 82.2 Å³/cell
* E: -32.64 eV per formula unit
* space-group type: Pm-3m (221)


No. 18
DFT (PBE-GGA) results for a geometry-optimized AlRuRh structure.

Lattice parameters (Å, degrees): 6.7933 6.5440 2.7335 83.34 73.10 23.56
Fractional positions:
Al  0.0000  0.0000  0.0000
Ru  0.6603  0.6603  0.3397
Rh  0.3420  0.3420  0.6580

Properties
* total moment: 0.01 μB per cell
* formation energy: -0.17 eV per atom
* V: 42.7 Å³/cell
* E: -20.89 eV per formula unit
* space-group type: Fmm2 (42)


No. 19
DFT (PBE-GGA) results for a geometry-optimized Al2RuRh structure.

Lattice parameters (Å, degrees): 2.8098 3.9437 5.1734 90.00 95.49 90.00
Fractional positions:
Al  0.2119  0.0000  0.2457
Al  0.7881  0.0000  0.7543
Ru  0.5000  0.5000  0.0000
Rh  0.0000  0.5000  0.5000

Properties
* total moment: 0.00 μB per cell
* formation energy: -0.49 eV per atom
* V: 57.1 Å³/cell
* E: -26.09 eV per formula unit
* space-group type: P2/m (10)


No. 20
DFT (PBE-GGA) results for a geometry-optimized Al2RuRh structure.

Lattice parameters (Å, degrees): 4.3318 4.3318 4.3318 60.00 60.00 60.00
Fractional positions:
Al  0.0000  0.0000  0.0000
Al  0.2500  0.2500  0.2500
Ru  0.5000  0.5000  0.5000
Rh  0.7500  0.7500  0.7500

Properties
* total moment: 0.39 μB per cell
* formation energy: -0.29 eV per atom
* V: 57.5 Å³/cell
* E: -25.26 eV per formula unit
* space-group type: F-43m (216)


No. 21
DFT (PBE-GGA) results for a geometry-optimized AlRuRh structure.

Lattice parameters (Å, degrees): 4.1341 4.1341 4.1341 60.00 60.00 60.00
Fractional positions:
Al  0.0000  0.0000  0.0000
Ru  0.5000  0.5000  0.5000
Rh  0.2500  0.2500  0.2500

Properties
* total moment: 0.00 μB per cell
* formation energy: -0.02 eV per atom
* V: 50.0 Å³/cell
* E: -20.42 eV per formula unit
* space-group type: F-43m (216)


No. 22
DFT (PBE-GGA) results for a geometry-optimized AlRu3Rh structure.

Lattice parameters (Å, degrees): 4.6469 4.6469 4.6469 90.00 90.00 90.00
Fractional positions:
Al  0.0000  0.0000  0.0000
Ru  0.0000  0.5000  0.5000
Ru  0.5000  0.0000  0.5000
Ru  0.5000  0.5000  0.0000
Rh  0.5000  0.5000  0.5000

Properties
* total moment: 2.42 μB per cell
* formation energy: 1.71 eV per atom
* V: 100.3 Å³/cell
* E: -30.38 eV per formula unit
* space-group type: Pm-3m (221)


No. 23
DFT (PBE-GGA) results for a geometry-optimized Al2RuRh structure.

Lattice parameters (Å, degrees): 2.7972 3.8120 5.3210 90.00 90.00 90.00
Fractional positions:
Al  0.0000  0.0000  0.0000
Al  0.5000  0.5000  0.2957
Ru  0.5000  0.5000  0.8037
Rh  0.0000  0.0000  0.4918

Properties
* total moment: 0.00 μB per cell
* formation energy: -0.54 eV per atom
* V: 56.7 Å³/cell
* E: -26.26 eV per formula unit
* space-group type: Pmm2 (25)


No. 24
DFT (PBE-GGA) results for a geometry-optimized Al2RuRh structure.

Lattice parameters (Å, degrees): 4.8799 4.8799 2.8108 104.19 104.19 109.56
Fractional positions:
Al  0.0000  0.5000  0.0000
Al  0.5000  0.0000  0.0000
Ru  0.0000  0.0000  0.5000
Rh  0.5000  0.5000  0.5000

Properties
* total moment: 0.00 μB per cell
* formation energy: -0.49 eV per atom
* V: 57.1 Å³/cell
* E: -26.06 eV per formula unit
* space-group type: C2/m (12)


No. 25
DFT (PBE-GGA) results for a geometry-optimized Al2RuRh structure.

Lattice parameters (Å, degrees): 4.8860 4.8860 4.3287 107.43 107.43 34.71
Fractional positions:
Al  0.0000  0.0000  0.0000
Al  0.2342  0.2342  0.6106
Ru  0.7431  0.7431  0.1075
Rh  0.4906  0.4906  0.5011

Properties
* total moment: 0.00 μB per cell
* formation energy: -0.70 eV per atom
* V: 55.9 Å³/cell
* E: -26.91 eV per formula unit
* space-group type: Cm (8)